Compound: Mn2MoRh
Source: Alexandria via LeMat-Bulk
Functional: SCAN
Structure: single point on PBEsol structure Values from VASP.

```
&SYSTEM
  ibrav = 0, nat = 4, ntyp = 3
/
ATOMIC_SPECIES
Mn 54.94 Mn.upf
Mo 95.94 Mo.upf
Rh 102.91 Rh.upf
ATOMIC_POSITIONS crystal
Mn 0.798 0.000 0.596
Mn 0.689 0.500 0.377
Mo 0.065 0.000 0.131
Rh 0.414 0.500 0.829
CELL_PARAMETERS angstrom
-1.926 0.610 -1.641
-2.661 -1.533 2.553
0.522 3.962 2.923
```

The calculation puts the raw total energy at -26.25 eV per atom. As for the energy of formation from the pure elements: 0.039 eV per atom. As for the size of the total moment: 0.31 Bohr magnetons per cell. As for the space group: Amm2 (38).